(1)
CaTh3 | PBE | optimized geometry

extended XYZ file:
```
4
Lattice="3.5668 0.0000 0.0000 0.0000 6.3329 0.0000 -1.7834 -3.1664 5.9415" Properties=species:S:1:pos:R:3 pbc="T T T"
Th 1.7834 -1.0608 3.0271
Th 1.7834 3.1648 0.0000
Th 0.0000 2.1057 2.9144
Ca 0.0000 0.0123 0.0000
```

Output
**Crystal system**: orthorhombic
**SG**: Imm2, No. 44

---

(2)
CaTh3 | PBE | optimized geometry

extended XYZ file:
```
4
Lattice="5.0976 0.0000 0.0000 0.0000 5.0976 0.0000 -2.5488 -2.5488 5.1098" Properties=species:S:1:pos:R:3 pbc="T T T"
Th 2.5488 0.0000 2.5549
Th 0.0000 2.5488 2.5549
Th 2.5488 2.5488 0.0000
Ca 0.0000 0.0000 0.0000
```

Output
**Crystal system**: tetragonal
**SG**: I4/mmm, No. 139

---

(3)
CaTh3 | PBE | optimized geometry

extended XYZ file:
```
4
Lattice="-2.4601 2.5080 -0.5481 -4.1676 -4.2064 -0.5416 -1.1021 0.2863 6.2570" Properties=species:S:1:pos:R:3 pbc="T T T"
Th -1.8058 1.4036 2.9946
Ca -2.4392 -2.0108 1.7470
Th -1.0941 0.2843 6.2118
Th -4.2275 -0.6118 4.6423
```

Output
**Crystal system**: orthorhombic
**SG**: Pmm2, No. 25

---

(4)
CaTh2Ti | PBE | optimized geometry

extended XYZ file:
```
4
Lattice="3.3997 0.0000 0.0000 1.6999 2.9443 0.0000 1.6999 0.9814 12.1255" Properties=species:S:1:pos:R:3 pbc="T T T"
Ca 0.0000 0.0000 0.0000
Ti 3.3997 1.9628 6.0627
Th 1.6999 0.9814 8.6407
Th 5.0996 2.9443 3.4848
```

Output
**Crystal system**: trigonal
**SG**: R-3m, No. 166

---

(5)
Ca5ThTl6 | PBE | optimized geometry

extended XYZ file:
```
12
Lattice="-0.7601 5.4402 -0.2039 -7.2981 -1.1111 -2.4325 -6.6279 1.9994 6.5533" Properties=species:S:1:pos:R:3 pbc="T T T"
Tl -3.4611 5.1062 1.7996
Ca -4.8975 2.1077 1.3136
Ca -3.6490 -0.5555 -1.2163
Tl -5.8455 1.8881 -1.9234
Tl -8.8405 4.4404 5.8403
Ca -9.7885 4.2208 2.6033
Tl -7.6013 1.7739 3.3250
Tl -11.2249 1.2223 2.1173
Ca -8.5625 1.5517 0.1442
Tl -7.0847 4.5547 0.5918
Th 0.0000 0.0000 0.0000
Ca -6.1236 4.7768 3.7727
```

Output
**Crystal system**: monoclinic
**SG**: C2/m, No. 12

---

(6)
Ca4ThTl15 | PBE | optimized geometry

extended XYZ file:
```
20
Lattice="4.8392 0.0000 0.0000 0.0000 4.8392 0.0000 0.0000 0.0000 24.4107" Properties=species:S:1:pos:R:3 pbc="T T T"
Tl 2.4196 2.4196 4.9103
Ca 0.0000 0.0000 19.5835
Tl 2.4196 0.0000 7.3034
Tl 2.4196 0.0000 12.2053
Tl 2.4196 2.4196 14.6772
Ca 0.0000 0.0000 4.8272
Tl 0.0000 2.4196 17.1073
Tl 2.4196 2.4196 19.5004
Tl 0.0000 2.4196 2.4463
Tl 2.4196 2.4196 0.0000
Tl 2.4196 0.0000 17.1073
Tl 0.0000 2.4196 12.2053
Tl 2.4196 2.4196 9.7335
Tl 2.4196 0.0000 2.4463
Tl 0.0000 2.4196 21.9643
Ca 0.0000 0.0000 14.6774
Tl 0.0000 2.4196 7.3034
Th 0.0000 0.0000 0.0000
Tl 2.4196 0.0000 21.9643
Ca 0.0000 0.0000 9.7333
```

Output
**Crystal system**: tetragonal
**SG**: P4/mmm, No. 123

---

(7)
Ca2ThTl9 | PBE | optimized geometry

extended XYZ file:
```
12
Lattice="4.8474 0.0000 0.0000 0.0000 4.8474 0.0000 0.0000 0.0000 14.5222" Properties=species:S:1:pos:R:3 pbc="T T T"
Tl 0.0000 2.4237 7.2611
Tl 0.0000 2.4237 12.0844
Tl 2.4237 2.4237 4.8756
Tl 2.4237 0.0000 7.2611
Ca 0.0000 0.0000 4.8193
Tl 2.4237 2.4237 0.0000
Th 0.0000 0.0000 0.0000
Tl 0.0000 2.4237 2.4378
Tl 2.4237 2.4237 9.6466
Tl 2.4237 0.0000 12.0844
Tl 2.4237 0.0000 2.4378
Ca 0.0000 0.0000 9.7029
```

Output
**Crystal system**: tetragonal
**SG**: P4/mmm, No. 123

---

(8)
CaTh3Tl12 | PBE | optimized geometry

extended XYZ file:
```
16
Lattice="4.7920 0.0000 0.0000 0.0000 4.7920 0.0000 0.0000 0.0000 19.6899" Properties=species:S:1:pos:R:3 pbc="T T T"
Tl 2.3960 2.3960 9.8449
Th 0.0000 0.0000 9.8449
Tl 0.0000 2.3960 7.3918
Th 0.0000 0.0000 4.9948
Tl 2.3960 0.0000 17.2227
Tl 2.3960 0.0000 7.3918
Tl 0.0000 2.3960 17.2227
Tl 0.0000 2.3960 12.2981
Tl 2.3960 2.3960 14.7847
Tl 2.3960 2.3960 4.9052
Tl 0.0000 2.3960 2.4672
Tl 2.3960 0.0000 2.4672
Tl 2.3960 2.3960 0.0000
Th 0.0000 0.0000 14.6951
Ca 0.0000 0.0000 0.0000
Tl 2.3960 0.0000 12.2981
```

Output
**Crystal system**: tetragonal
**SG**: P4/mmm, No. 123

---

(9)
CaThTl6 | PBE | optimized geometry

extended XYZ file:
```
8
Lattice="4.8324 0.0000 0.0000 0.0000 4.8324 0.0000 0.0000 0.0000 9.6933" Properties=species:S:1:pos:R:3 pbc="T T T"
Tl 2.4162 2.4162 4.8467
Ca 0.0000 0.0000 0.0000
Tl 0.0000 2.4162 2.4073
Tl 2.4162 2.4162 0.0000
Tl 0.0000 2.4162 7.2860
Tl 2.4162 0.0000 7.2860
Th 0.0000 0.0000 4.8467
Tl 2.4162 0.0000 2.4073
```

Output
**Crystal system**: tetragonal
**SG**: P4/mmm, No. 123

---

(10)
Ca3ThTl4 | PBE | optimized geometry

extended XYZ file:
```
8
Lattice="3.8370 0.0000 0.0000 0.0000 3.8370 0.0000 0.0000 0.0000 15.9132" Properties=species:S:1:pos:R:3 pbc="T T T"
Th 1.9185 1.9185 0.0000
Tl 0.0000 0.0000 9.9353
Ca 1.9185 1.9185 7.9566
Tl 0.0000 0.0000 2.0980
Ca 1.9185 1.9185 11.8571
Tl 0.0000 0.0000 5.9779
Tl 0.0000 0.0000 13.8152
Ca 1.9185 1.9185 4.0561
```

Output
**Crystal system**: tetragonal
**SG**: P4/mmm, No. 123

---

(11)
Ca2ThTl3 | PBE | optimized geometry

extended XYZ file:
```
6
Lattice="-2.9218 0.2538 -2.3064 -2.0130 -2.1216 2.3168 -3.8839 10.2953 6.0531" Properties=species:S:1:pos:R:3 pbc="T T T"
Ca -5.7275 7.7079 5.0861
Tl 0.0000 0.0000 0.0000
Ca -3.0912 0.7196 0.9774
Th -4.4094 4.2138 3.0318
Tl -2.6222 6.9509 4.0868
Tl -1.2617 3.3444 1.9664
```

Output
**Crystal system**: tetragonal
**SG**: P4/mmm, No. 123

---

(12)
Ca4ThTl5 | PBE | optimized geometry

extended XYZ file:
```
10
Lattice="-1.1768 -2.2631 -2.8157 3.3940 0.3213 -1.6768 6.5986 -16.1888 10.2540" Properties=species:S:1:pos:R:3 pbc="T T T"
Tl 3.1042 -5.8668 0.8549
Tl 4.4079 -9.0653 2.8808
Ca 5.2469 -12.8726 8.1535
Tl 1.8092 -2.6895 -1.1576
Ca 3.9571 -9.7083 6.1492
Tl 5.7116 -12.2637 4.9067
Ca 2.6415 -6.4805 4.1047
Ca 1.3517 -3.3162 2.1005
Tl 7.0067 -15.4410 6.9192
Th 0.0000 0.0000 0.0000
```

Output
**Crystal system**: tetragonal
**SG**: P4/mmm, No. 123

---

Here are the calculated total DFT energy (no corrections) numbers, same order: -0.2162 -0.2157 -0.2160 -0.2123 -0.1105 -0.1017 -0.1078 -0.1272 -0.1155 -0.1178 -0.1254 -0.1135 (Ha/atom).
Here are the calculated density of states at the Fermi level numbers, same order: 1.4780 1.5425 1.5895 1.9694 0.6490 0.4984 0.5287 0.5426 0.2425 0.8706 0.6112 0.7520 (states/eV/atom).